DFT (GGA+U) results for a relaxed La2ZnCoO6 crystal.

a = 5.4618 Å, b = 5.4622 Å, c = 5.4662 Å
α = 61.60°, β = 61.41°, γ = 61.45°
Closest atoms and distances in Å follow each position.
Space group P-1 (No. 2)
Unique sites:
La: 0.2500 0.2496 0.2461 (multiplicity 2)  4 O 2.42-2.66
Zn: 0.5000 0.5000 0.5000 (multiplicity 1)  6 O 2.07
Co: 0.0000 0.0000 0.0000 (multiplicity 1)  6 O 1.90-1.91
O: 0.1716 0.3073 0.7742 (multiplicity 2)  1 Co 1.91, 1 Zn 2.07
O: 0.2406 0.8309 0.6906 (multiplicity 2)  1 Co 1.91, 1 Zn 2.07
O: 0.3032 0.7634 0.1751 (multiplicity 2)  1 Co 1.90, 1 Zn 2.07

Crystal system: triclinic
Spin magnetization, μB/f.u.: 1.0
Final energy, eV per cell: -68.60